(1)
MgZrAu | Alexandria via LeMat-Bulk | PBE-GGA | optimized geometry; ΔH_f (0 K) = -0.308 eV/atom; space group = P3m1 (156)
1.0
4.755 0.000 0.000
-2.378 4.118 0.000
0.000 0.000 3.010
Mg Zr Au
1 1 1
direct
0.000 0.000 0.000
0.667 0.333 0.501
0.333 0.667 0.004

=====

(2)
KRuS2 | Alexandria via LeMat-Bulk | PBE-GGA | optimized geometry; formation energy (no corrections) = -599 meV per atom; space group = I-42d (122)
1.0
-3.563 3.563 3.884
3.563 -3.563 3.884
3.563 3.563 -3.884
K Ru S
2 2 4
direct
0.000 0.000 0.000
0.750 0.250 0.500
0.250 0.750 0.500
0.500 0.500 0.000
0.241 0.625 0.116
0.375 0.491 0.616
0.509 0.125 0.884
0.875 0.759 0.384

=====

(3)
Si2Pb2F | Alexandria via LeMat-Bulk | PBE-GGA | optimized geometry; formation energy (no corrections) = -185 meV per atom; space group = P4/mbm (127); E above lowest polymorph = 178 meV per atom
1.0
7.383 0.000 0.000
0.000 7.383 0.000
0.000 0.000 4.403
Si Pb F
4 4 2
direct
0.109 0.391 0.000
0.391 0.891 0.000
0.609 0.109 0.000
0.891 0.609 0.000
0.202 0.702 0.500
0.298 0.202 0.500
0.702 0.798 0.500
0.798 0.298 0.500
0.000 0.000 0.500
0.500 0.500 0.500

=====

(4)
Ac2HoTe5Au | Alexandria via LeMat-Bulk | PBE-GGA | optimized geometry; formation energy (no corrections) = -1306 meV per atom; space group = Cmc2_1 (36)
1.0
2.251 -9.806 0.000
2.251 9.806 0.000
0.000 0.000 13.456
Ac Ho Te Au
4 2 10 2
direct
0.114 0.886 0.500
0.124 0.876 0.121
0.876 0.124 0.621
0.886 0.114 0.000
0.188 0.812 0.820
0.812 0.188 0.320
0.042 0.958 0.877
0.289 0.711 0.477
0.303 0.697 0.157
0.350 0.650 0.813
0.500 0.500 0.088
0.500 0.500 0.588
0.650 0.350 0.313
0.697 0.303 0.657
0.711 0.289 0.977
0.958 0.042 0.377
0.426 0.574 0.268
0.574 0.426 0.768

=====

(5)
ScB3W | Alexandria via LeMat-Bulk | PBE-GGA | optimized geometry; ΔH_f (0 K) = 2.136 eV/atom; space group = Pm-3m (221); E above lowest polymorph = 2832 meV per atom
1.0
3.976 0.000 0.000
0.000 3.976 0.000
0.000 0.000 3.976
Sc B W
1 3 1
direct
0.000 0.000 0.000
0.000 0.000 0.500
0.000 0.500 0.000
0.500 0.000 0.000
0.500 0.500 0.500

=====

(6)
YAgW4 | Alexandria via LeMat-Bulk | PBE-GGA | optimized geometry; ΔH_f (0 K) = 0.477 eV/atom; space group = F-43m (216)
1.0
0.000 3.847 3.847
3.847 0.000 3.847
3.847 3.847 0.000
Y Ag W
1 1 4
direct
0.000 0.000 0.000
0.750 0.750 0.750
0.375 0.375 0.375
0.375 0.375 0.876
0.375 0.876 0.375
0.876 0.375 0.375

=====

(7)
NdPuCuO6 | Alexandria via LeMat-Bulk | PBE-GGA | optimized geometry; formation energy (no corrections) = -1949 meV per atom; space group = P312 (149)
1.0
5.763 0.000 0.000
-2.881 4.991 0.000
0.000 0.000 4.445
Nd Pu Cu O
1 1 1 6
direct
0.000 0.000 0.000
0.333 0.667 0.000
0.667 0.333 0.500
0.030 0.377 0.241
0.030 0.653 0.759
0.347 0.377 0.759
0.347 0.970 0.241
0.623 0.653 0.241
0.623 0.970 0.759

=====

(8)
AcAuF | Alexandria via LeMat-Bulk | PBE-GGA | optimized geometry; formation energy (no corrections) = -1728 meV per atom; space group = I4mm (107); E above lowest polymorph = 508 meV per atom
1.0
-1.850 1.850 5.243
1.850 -1.850 5.243
1.850 1.850 -5.243
Ac Au F
1 1 1
direct
0.000 0.000 0.000
0.300 0.300 0.000
0.564 0.564 0.000

=====

(9)
Cd5In4Hg3 | Alexandria via LeMat-Bulk | PBE-GGA | optimized geometry; ΔH_f (0 K) = 0.027 eV/atom; space group = P-1 (2); E above lowest polymorph = 0 meV per atom
1.0
6.167 0.000 0.000
-2.486 6.067 0.000
-1.842 -1.599 8.143
Cd In Hg
5 4 3
direct
0.000 0.000 0.000
0.222 0.834 0.300
0.249 0.498 0.986
0.751 0.502 0.014
0.778 0.166 0.700
0.265 0.167 0.658
0.299 0.679 0.646
0.701 0.321 0.354
0.735 0.833 0.342
0.201 0.342 0.318
0.500 0.000 0.000
0.799 0.658 0.682

=====

(10)
ZrBRh3 | Alexandria via LeMat-Bulk | PBE-GGA | optimized geometry; ΔH_f (0 K) = -0.681 eV/atom; space group = P2_1/m (11)
1.0
4.969 0.000 0.000
0.000 5.706 0.000
-2.397 0.000 5.003
Zr B Rh
2 2 6
direct
0.215 0.250 0.216
0.785 0.750 0.784
0.401 0.750 0.024
0.599 0.250 0.976
0.247 0.750 0.309
0.259 0.009 0.731
0.259 0.491 0.731
0.741 0.509 0.269
0.741 0.991 0.269
0.753 0.250 0.691

=====

(11)
EuHoPt2 | Alexandria via LeMat-Bulk | PBE-GGA | optimized geometry; ΔH_f (0 K) = -1.108 eV/atom; space group = P4/mmm (123); E above lowest polymorph = 0 meV per atom
1.0
3.508 0.000 0.000
0.000 3.508 0.000
0.000 0.000 7.194
Eu Ho Pt
1 1 2
direct
0.000 0.000 0.000
0.000 0.000 0.500
0.500 0.500 0.278
0.500 0.500 0.722

=====

(12)
NaPd2Se2 | Alexandria via LeMat-Bulk | PBE-GGA | optimized geometry; formation energy (no corrections) = -410 meV per atom; space group = I4/mmm (139); E above lowest polymorph = 52 meV per atom
1.0
-2.101 2.101 5.879
2.101 -2.101 5.879
2.101 2.101 -5.879
Na Pd Se
1 2 2
direct
0.000 0.000 0.000
0.250 0.750 0.500
0.750 0.250 0.500
0.378 0.378 0.000
0.622 0.622 0.000

=====

(13)
Ti2Si2Os | Alexandria via LeMat-Bulk | PBE-GGA | optimized geometry; formation energy (no corrections) = -673 meV per atom; space group = Immm (71)
1.0
-1.920 2.541 3.818
1.920 -2.541 3.818
1.920 2.541 -3.818
Ti Si Os
2 2 1
direct
0.204 0.204 0.000
0.796 0.796 0.000
0.226 0.500 0.726
0.774 0.500 0.274
0.500 0.000 0.500